[1]
The following is a DFT calculation (PBE) of DyBiAs after structural relaxation.

Uncorrected energy (eV per atom): -4.810
Excess energy over the best structure of this formula in the dataset (meV per atom): 0.0
Calculated volume (Å³/atom): 28.62

Geometry as CIF:
```
data_DyBiAs
_symmetry_space_group_name_H-M 'F -4 3 m'
_symmetry_Int_Tables_number 216
_symmetry_space_group_name_Hall 'F -4 2 3'
_cell_length_a 7.0031
_cell_length_b 7.0031
_cell_length_c 7.0031
_cell_angle_alpha 90.00
_cell_angle_beta 90.00
_cell_angle_gamma 90.00
loop_
_atom_site_label
_atom_site_type_symbol
_atom_site_fract_x
_atom_site_fract_y
_atom_site_fract_z
Dy1 Dy 0.0000 0.0000 0.0000
Bi1 Bi 0.0000 0.0000 0.5000
As1 As 0.2500 0.2500 0.7500
```

[2]
The following is a DFT calculation (PBE) of DyBiAs after structural relaxation.

Uncorrected energy (eV per atom): -4.714
Excess energy over the best structure of this formula in the dataset (meV per atom): 95.9
Calculated volume (Å³/atom): 30.49

Geometry as CIF:
```
data_DyBiAs
_symmetry_space_group_name_H-M 'F -4 3 m'
_symmetry_Int_Tables_number 216
_symmetry_space_group_name_Hall 'F -4 2 3'
_cell_length_a 7.1524
_cell_length_b 7.1524
_cell_length_c 7.1524
_cell_angle_alpha 90.00
_cell_angle_beta 90.00
_cell_angle_gamma 90.00
loop_
_atom_site_label
_atom_site_type_symbol
_atom_site_fract_x
_atom_site_fract_y
_atom_site_fract_z
Dy1 Dy 0.0000 0.0000 0.0000
Bi1 Bi 0.2500 0.2500 0.2500
As1 As 0.2500 0.2500 0.7500
```

[3]
The following is a DFT calculation (PBE) of Dy3Bi2As after structural relaxation.

Uncorrected energy (eV per atom): -5.496
Calculated volume (Å³/atom): 28.92

Geometry as CIF:
```
data_Dy3Bi2As
_symmetry_space_group_name_H-M 'P -3 m 1'
_symmetry_Int_Tables_number 164
_symmetry_space_group_name_Hall '-P 3 2"'
_cell_length_a 4.3114
_cell_length_b 4.3114
_cell_length_c 10.7778
_cell_angle_alpha 90.00
_cell_angle_beta 90.00
_cell_angle_gamma 120.00
loop_
_atom_site_label
_atom_site_type_symbol
_atom_site_fract_x
_atom_site_fract_y
_atom_site_fract_z
Dy1 Dy 0.0000 0.0000 0.0000
Dy2 Dy 0.3333 0.6667 0.6462
Bi1 Bi 0.3333 0.6667 0.1754
As1 As 0.0000 0.0000 0.5000
```